DFT (PBE-GGA) results for an optimized crystal structure of Pm3Tl2In4.

Cell lengths 4.4919, 8.0100, 8.0100 Å; angles 120.00, 90.00, 90.00 degrees
Last column: nearest neighbours and their distance in Å.
Fractional coordinates of all 9 atoms:
Pm1 0.5000 0.3962 0.0000  1 In 3.17, 4 Tl 3.33
Pm2 0.5000 0.0000 0.3962  1 In 3.17, 4 Tl 3.33
Pm3 0.5000 0.6038 0.6038  1 In 3.17, 4 Tl 3.33
In1 0.0000 0.7439 0.0000  2 Tl 3.03, 2 In 3.04
In2 0.0000 0.0000 0.7439  2 Tl 3.03, 2 In 3.04
In3 0.0000 0.2561 0.2561  2 Tl 3.03, 2 In 3.04
In4 0.5000 0.0000 0.0000  6 In 3.04, 3 Pm 3.17
Tl1 0.0000 0.6667 0.3333  3 In 3.03, 6 Pm 3.33
Tl2 0.0000 0.3333 0.6667  3 In 3.03, 6 Pm 3.33

Calculated values
- ΔE_f: -0.35 eV per atom
- Energy: -3.68 eV/atom

DFT (PBE-GGA) results for an optimized crystal structure of Pm8TlIn2.

Cell lengths 5.0455, 8.3132, 9.0779 Å; angles 110.77, 106.13, 90.00 degrees
Last column: nearest neighbours and their distance in Å.
Fractional coordinates of all 11 atoms:
Pm1 0.9429 0.2742 0.8858  1 In 3.25, 7 Pm 3.36-3.63
Pm2 0.4037 0.5489 0.8074  3 In 3.37-3.48, 1 Tl 3.50, 7 Pm 3.53-3.74
Pm3 0.8590 0.7976 0.7180  3 In 3.35-3.41, 2 Tl 3.49, 7 Pm 3.53-3.73
Pm4 0.5963 0.4511 0.1926  3 In 3.37-3.48, 1 Tl 3.50, 7 Pm 3.53-3.74
Pm5 0.6796 0.9397 0.3593  1 In 3.24, 1 Tl 3.35, 6 Pm 3.36-3.56
Pm6 0.1410 0.2024 0.2820  3 In 3.35-3.41, 2 Tl 3.49, 7 Pm 3.53-3.73
Pm7 0.3204 0.0603 0.6407  1 In 3.24, 1 Tl 3.35, 6 Pm 3.36-3.56
Pm8 0.0571 0.7258 0.1142  1 In 3.25, 7 Pm 3.36-3.63
In1 0.7745 0.3563 0.5490  8 Pm 3.24-3.48
In2 0.2255 0.6437 0.4510  8 Pm 3.24-3.48
Tl1 0.5000 0.0000 0.0000  8 Pm 3.35-3.50

Calculated values
- ΔE_f: -0.24 eV per atom
- Energy: -4.40 eV/atom
- Polymorph energy (0 for the lowest one): 0 meV/atom

DFT (PBE-GGA) results for an optimized crystal structure of Pm2Tl3In3.

Cell lengths 4.7897, 4.7510, 9.4860 Å; angles 90.00, 90.00, 90.00 degrees
Last column: nearest neighbours and their distance in Å.
Fractional coordinates of all 8 atoms:
In1 0.5000 0.5000 0.7540  2 In 3.33, 6 Tl 3.34-3.40, 4 Pm 3.37
In2 0.5000 0.5000 0.2460  2 In 3.33, 6 Tl 3.34-3.40, 4 Pm 3.37
In3 0.5000 0.0000 0.0000  4 In 3.33, 4 Pm 3.36, 4 Tl 3.37
Pm1 0.0000 0.0000 0.7515  6 Tl 3.35-3.38, 6 In 3.36-3.37
Pm2 0.0000 0.0000 0.2485  6 Tl 3.35-3.38, 6 In 3.36-3.37
Tl1 0.5000 0.0000 0.5000  4 Tl 3.37, 4 Pm 3.38, 4 In 3.38
Tl2 0.0000 0.5000 0.0000  8 In 3.34-3.37, 4 Pm 3.35
Tl3 0.0000 0.5000 0.5000  4 Pm 3.37, 4 Tl 3.37, 4 In 3.40

Calculated values
- ΔE_f: -0.38 eV per atom
- Energy: -3.48 eV/atom

DFT (PBE-GGA) results for an optimized crystal structure of Pm2TlIn2.

Cell lengths 4.9937, 6.3101, 10.2886 Å; angles 93.22, 75.96, 66.69 degrees
Last column: nearest neighbours and their distance in Å.
Fractional coordinates of all 10 atoms:
Pm1 0.1054 0.7280 0.0613  2 Tl 3.25, 5 In 3.28-3.57, 1 Pm 3.57
Pm2 0.2896 0.7731 0.6477  1 Tl 3.27, 5 In 3.27-3.29
Pm3 0.7104 0.2269 0.3523  1 Tl 3.27, 5 In 3.27-3.29
Pm4 0.8946 0.2720 0.9387  2 Tl 3.25, 5 In 3.28-3.57, 1 Pm 3.57
Tl1 0.5106 0.2503 0.7286  3 In 3.00, 3 Pm 3.25-3.27
Tl2 0.4894 0.7497 0.2714  3 In 3.00, 3 Pm 3.25-3.27
In1 0.6533 0.8278 0.8656  1 Tl 3.00, 1 In 3.06, 4 Pm 3.28-3.29
In2 0.0663 0.2984 0.5690  1 In 2.91, 2 Tl 3.00
In3 0.3467 0.1722 0.1344  1 Tl 3.00, 1 In 3.06, 4 Pm 3.28-3.29
In4 0.9337 0.7016 0.4310  1 In 2.91, 2 Tl 3.00

Calculated values
- ΔE_f: -0.40 eV per atom
- Energy: -3.87 eV/atom

DFT (PBE-GGA) results for an optimized crystal structure of Pm2TlIn.

Cell lengths 5.4663, 5.4663, 5.4663 Å; angles 60.00, 60.00, 60.00 degrees
Last column: nearest neighbours and their distance in Å.
Fractional coordinates of all 4 atoms:
Pm1 0.7500 0.7500 0.7500  4 Tl 3.35, 4 In 3.35
Pm2 0.2500 0.2500 0.2500  4 Tl 3.35, 4 In 3.35
Tl1 0.5000 0.5000 0.5000  8 Pm 3.35
In1 0.0000 0.0000 0.0000  8 Pm 3.35

Calculated values
- ΔE_f: -0.44 eV per atom
- Energy: -4.09 eV/atom
- Polymorph energy (0 for the lowest one): 4 meV/atom

DFT (PBE-GGA) results for an optimized crystal structure of Pm8Tl2In.

Cell lengths 5.0622, 8.3462, 9.0810 Å; angles 111.05, 106.18, 90.00 degrees
Last column: nearest neighbours and their distance in Å.
Fractional coordinates of all 11 atoms:
Pm1 0.3208 0.0594 0.6415  1 Tl 3.23, 1 In 3.34, 6 Pm 3.36-3.56
Pm2 0.1404 0.2010 0.2808  3 Tl 3.37-3.44, 2 In 3.48, 7 Pm 3.55-3.75
Pm3 0.0562 0.7287 0.1124  1 Tl 3.26, 5 Pm 3.36-3.58
Pm4 0.6792 0.9406 0.3585  1 Tl 3.23, 1 In 3.34, 6 Pm 3.36-3.56
Pm5 0.5954 0.4505 0.1907  3 Tl 3.37-3.52, 1 In 3.50, 7 Pm 3.55-3.72
Pm6 0.8596 0.7990 0.7192  3 Tl 3.37-3.44, 2 In 3.48, 7 Pm 3.55-3.75
Pm7 0.4046 0.5495 0.8093  3 Tl 3.37-3.52, 1 In 3.50, 7 Pm 3.55-3.72
Pm8 0.9438 0.2713 0.8876  1 Tl 3.26, 5 Pm 3.36-3.58
In1 0.5000 0.0000 0.0000  8 Pm 3.34-3.50
Tl1 0.7757 0.3548 0.5513  8 Pm 3.23-3.52
Tl2 0.2243 0.6452 0.4487  8 Pm 3.23-3.52

Calculated values
- ΔE_f: -0.22 eV per atom
- Energy: -4.35 eV/atom
- Polymorph energy (0 for the lowest one): 0 meV/atom

DFT (PBE-GGA) results for an optimized crystal structure of Pm2TlIn.

Cell lengths 3.8589, 3.8589, 7.7695 Å; angles 90.00, 90.00, 90.00 degrees
Last column: nearest neighbours and their distance in Å.
Fractional coordinates of all 4 atoms:
Pm1 0.0000 0.0000 0.2478  4 In 3.34, 4 Tl 3.36
Pm2 0.0000 0.0000 0.7522  4 In 3.34, 4 Tl 3.36
Tl1 0.5000 0.5000 0.5000  8 Pm 3.36
In1 0.5000 0.5000 0.0000  8 Pm 3.34

Calculated values
- ΔE_f: -0.44 eV per atom
- Energy: -4.10 eV/atom
- Polymorph energy (0 for the lowest one): 0 meV/atom

DFT (PBE-GGA) results for an optimized crystal structure of Pm12TlIn6.

Cell lengths 8.9893, 8.9893, 8.9893 Å; angles 107.37, 107.37, 107.37 degrees
Last column: nearest neighbours and their distance in Å.
Fractional coordinates of all 19 atoms:
In1 0.2534 0.6619 0.3563  6 Pm 3.18-3.34, 2 In 3.43
In2 0.6437 0.7466 0.3381  6 Pm 3.18-3.34, 2 In 3.43
In3 0.3563 0.2534 0.6619  6 Pm 3.18-3.34, 2 In 3.43
In4 0.6619 0.3563 0.2534  6 Pm 3.18-3.34, 2 In 3.43
In5 0.3381 0.6437 0.7466  6 Pm 3.18-3.34, 2 In 3.43
In6 0.7466 0.3381 0.6437  6 Pm 3.18-3.34, 2 In 3.43
Pm1 0.1165 0.6535 0.9640  3 In 3.18-3.34, 4 Pm 3.29-3.55, 1 Tl 3.53
Pm2 0.6863 0.6036 0.9367  3 In 3.20-3.29, 3 Pm 3.30-3.55, 1 Tl 3.58
Pm3 0.6535 0.9640 0.1165  3 In 3.18-3.34, 4 Pm 3.29-3.55, 1 Tl 3.53
Pm4 0.0633 0.3137 0.3964  3 In 3.20-3.29, 3 Pm 3.30-3.55, 1 Tl 3.58
Pm5 0.8835 0.3465 0.0360  3 In 3.18-3.34, 4 Pm 3.29-3.55, 1 Tl 3.53
Pm6 0.6036 0.9367 0.6863  3 In 3.20-3.29, 3 Pm 3.30-3.55, 1 Tl 3.58
Pm7 0.9640 0.1165 0.6535  3 In 3.18-3.34, 4 Pm 3.29-3.55, 1 Tl 3.53
Pm8 0.9367 0.6863 0.6036  3 In 3.20-3.29, 3 Pm 3.30-3.55, 1 Tl 3.58
Pm9 0.0360 0.8835 0.3465  3 In 3.18-3.34, 4 Pm 3.29-3.55, 1 Tl 3.53
Pm10 0.3137 0.3964 0.0633  3 In 3.20-3.29, 3 Pm 3.30-3.55, 1 Tl 3.58
Pm11 0.3964 0.0633 0.3137  3 In 3.20-3.29, 3 Pm 3.30-3.55, 1 Tl 3.58
Pm12 0.3465 0.0360 0.8835  3 In 3.18-3.34, 4 Pm 3.29-3.55, 1 Tl 3.53
Tl1 0.0000 0.0000 0.0000  12 Pm 3.53-3.58

Calculated values
- ΔE_f: -0.15 eV per atom
- Energy: -4.14 eV/atom

DFT (PBE-GGA) results for an optimized crystal structure of Pm9TlIn2.

Cell lengths 4.9598, 4.9598, 14.8830 Å; angles 90.00, 90.00, 90.00 degrees
Last column: nearest neighbours and their distance in Å.
Fractional coordinates of all 12 atoms:
Pm1 0.5000 0.0000 0.8322  2 In 3.50, 8 Pm 3.50-3.52, 2 Tl 3.52
Pm2 0.0000 0.5000 0.1678  2 In 3.50, 8 Pm 3.50-3.52, 2 Tl 3.52
Pm3 0.0000 0.5000 0.5000  8 Pm 3.50-3.51, 4 In 3.51
Pm4 0.0000 0.5000 0.8322  2 In 3.50, 8 Pm 3.50-3.52, 2 Tl 3.52
Pm5 0.5000 0.5000 0.0000  4 Tl 3.51, 8 Pm 3.52
Pm6 0.5000 0.0000 0.1678  2 In 3.50, 8 Pm 3.50-3.52, 2 Tl 3.52
Pm7 0.5000 0.0000 0.5000  8 Pm 3.50-3.51, 4 In 3.51
Pm8 0.5000 0.5000 0.6662  8 Pm 3.50, 4 In 3.51
Pm9 0.5000 0.5000 0.3338  8 Pm 3.50, 4 In 3.51
In1 0.0000 0.0000 0.6665  12 Pm 3.50-3.51
In2 0.0000 0.0000 0.3335  12 Pm 3.50-3.51
Tl1 0.0000 0.0000 0.0000  12 Pm 3.51-3.52

Calculated values
- ΔE_f: -0.25 eV per atom
- Energy: -4.47 eV/atom

DFT (PBE-GGA) results for an optimized crystal structure of Pm2Tl3In3.

Cell lengths 4.7432, 4.7522, 9.5755 Å; angles 90.00, 90.00, 90.00 degrees
Last column: nearest neighbours and their distance in Å.
Fractional coordinates of all 8 atoms:
In1 0.0000 0.5000 0.0000  8 Tl 3.36-3.39, 4 Pm 3.39
In2 0.5000 0.0000 0.5000  4 Tl 3.35, 4 In 3.36, 4 Pm 3.36
In3 0.0000 0.5000 0.5000  4 Tl 3.35, 4 In 3.36, 4 Pm 3.36
Tl1 0.5000 0.5000 0.2534  6 In 3.35-3.39, 4 Pm 3.36, 2 Tl 3.40
Tl2 0.5000 0.5000 0.7466  6 In 3.35-3.39, 4 Pm 3.36, 2 Tl 3.40
Tl3 0.5000 0.0000 0.0000  4 In 3.36, 4 Pm 3.38, 4 Tl 3.40
Pm1 0.0000 0.0000 0.2518  6 Tl 3.36-3.38, 6 In 3.36-3.39
Pm2 0.0000 0.0000 0.7482  6 Tl 3.36-3.38, 6 In 3.36-3.39

Calculated values
- ΔE_f: -0.38 eV per atom
- Energy: -3.48 eV/atom

DFT (PBE-GGA) results for an optimized crystal structure of Pm2TlIn9.

Cell lengths 4.6912, 4.6912, 14.5877 Å; angles 90.00, 90.00, 90.00 degrees
Last column: nearest neighbours and their distance in Å.
Fractional coordinates of all 12 atoms:
In1 0.5000 0.0000 0.1736  8 In 3.32-3.45, 2 Pm 3.38, 2 Tl 3.45
In2 0.5000 0.5000 0.6617  4 Pm 3.32, 8 In 3.33-3.36
In3 0.5000 0.5000 0.0000  4 Tl 3.32, 8 In 3.45
In4 0.0000 0.5000 0.1736  8 In 3.32-3.45, 2 Pm 3.38, 2 Tl 3.45
In5 0.5000 0.5000 0.3383  4 Pm 3.32, 8 In 3.33-3.36
In6 0.5000 0.0000 0.8264  8 In 3.32-3.45, 2 Pm 3.38, 2 Tl 3.45
In7 0.0000 0.5000 0.8264  8 In 3.32-3.45, 2 Pm 3.38, 2 Tl 3.45
In8 0.0000 0.5000 0.5000  4 Pm 3.31, 8 In 3.32-3.33
In9 0.5000 0.0000 0.5000  4 Pm 3.31, 8 In 3.32-3.33
Pm1 0.0000 0.0000 0.3401  12 In 3.31-3.38
Pm2 0.0000 0.0000 0.6599  12 In 3.31-3.38
Tl1 0.0000 0.0000 0.0000  12 In 3.32-3.45

Calculated values
- ΔE_f: -0.27 eV per atom
- Energy: -3.31 eV/atom

DFT (PBE-GGA) results for an optimized crystal structure of Pm12Tl2In5.

Cell lengths 7.1103, 9.9133, 9.3649 Å; angles 88.94, 90.00, 111.02 degrees
Last column: nearest neighbours and their distance in Å.
Fractional coordinates of all 19 atoms:
Pm1 0.0838 0.6687 0.9402  1 Tl 3.14, 3 In 3.22-3.48, 1 Pm 3.30
Pm2 0.5180 0.0361 0.6912  2 Tl 3.26, 1 In 3.59, 2 Pm 3.62
Pm3 0.9162 0.3313 0.0598  1 Tl 3.14, 3 In 3.22-3.48, 1 Pm 3.30
Pm4 0.3988 0.3014 0.4754  4 In 3.30-3.41, 3 Pm 3.53-3.62
Pm5 0.9026 0.3014 0.4754  4 In 3.30-3.41, 3 Pm 3.53-3.62
Pm6 0.4151 0.3313 0.0598  1 Tl 3.14, 3 In 3.22-3.48, 1 Pm 3.30
Pm7 0.4820 0.9639 0.3088  2 Tl 3.26, 1 In 3.59, 2 Pm 3.62
Pm8 0.5849 0.6687 0.9402  1 Tl 3.14, 3 In 3.22-3.48, 1 Pm 3.30
Pm9 0.0648 0.1297 0.7916  2 In 3.00-3.18, 2 Tl 3.08
Pm10 0.6012 0.6986 0.5246  4 In 3.30-3.41, 3 Pm 3.53-3.62
Pm11 0.9352 0.8703 0.2084  2 In 3.00-3.18, 2 Tl 3.08
Pm12 0.0974 0.6986 0.5246  4 In 3.30-3.41, 3 Pm 3.53-3.62
In1 0.0000 0.0000 0.5000  6 Pm 3.00-3.30
In2 0.7089 0.4177 0.7510  7 Pm 3.34-3.59, 2 In 3.59
In3 0.2911 0.5823 0.2490  7 Pm 3.34-3.59, 2 In 3.59
In4 0.7652 0.5304 0.2637  7 Pm 3.18-3.41
In5 0.2348 0.4696 0.7363  7 Pm 3.18-3.41
Tl1 0.2932 0.0000 0.0000  1 Tl 2.94, 6 Pm 3.08-3.26
Tl2 0.7068 0.0000 0.0000  1 Tl 2.94, 6 Pm 3.08-3.26

Calculated values
- ΔE_f: -0.16 eV per atom
- Energy: -4.13 eV/atom